Run i
The following is a GGA-PBE calculation of an optimized crystal structure of RbVPb2, from the Alexandria database.

It has space group Fm-3m (No. 225), with a = 7.741 Å, b = 7.741 Å, c = 7.741 Å, α = 90.00°, β = 90.00° and γ = 90.00°. The asymmetric unit holds Rb at (0.000, 0.000, 0.000), V at (0.000, 0.000, 0.500) and Pb at (0.250, 0.250, 0.250).

The crystal system is cubic.

Run ii
The following is a GGA-PBE calculation of an optimized crystal structure of RbVPb2, from the Alexandria database.

It has space group I-42d (No. 122), with a = 6.404 Å, b = 6.404 Å, c = 17.353 Å, α = 90.00°, β = 90.00° and γ = 90.00°. The asymmetric unit holds Rb at (0.000, 0.000, 0.000), V at (0.000, 0.000, 0.500) and Pb at (0.001, 0.250, 0.625).

The crystal system is tetragonal.

Tell me which of them is the least stable. Sure, it is run i.

Run i
The following is a GGA-PBE calculation of an optimized crystal structure of RbY3Pb, from the Alexandria database.

It has space group Pm-3m (No. 221), with a = 5.521 Å, b = 5.521 Å, c = 5.521 Å, α = 90.00°, β = 90.00° and γ = 90.00°. The asymmetric unit holds Rb at (0.000, 0.000, 0.000), Y at (0.000, 0.000, 0.500) and Pb at (0.500, 0.500, 0.500).

The crystal system is cubic.

Run ii
The following is a GGA-PBE calculation of an optimized crystal structure of RbY3Pb, from the Alexandria database.

It has space group Pm-3m (No. 221), with a = 6.006 Å, b = 6.006 Å, c = 6.006 Å, α = 90.00°, β = 90.00° and γ = 90.00°. The asymmetric unit holds Rb at (0.000, 0.000, 0.000), Y at (0.000, 0.500, 0.500) and Pb at (0.500, 0.500, 0.500).

The crystal system is cubic.

Tell me which of them is the least stable. Sure, it is run i.

Run i
The following is a GGA-PBE calculation of an optimized crystal structure of RbYPb3, from the Alexandria database.

It has space group Pm-3m (No. 221), with a = 5.923 Å, b = 5.923 Å, c = 5.923 Å, α = 90.00°, β = 90.00° and γ = 90.00°. The asymmetric unit holds Rb at (0.000, 0.000, 0.000), Y at (0.500, 0.500, 0.500) and Pb at (0.000, 0.000, 0.500).

The crystal system is cubic.

Run ii
The following is a GGA-PBE calculation of an optimized crystal structure of RbYPb3, from the Alexandria database.

It has space group Pm-3m (No. 221), with a = 5.993 Å, b = 5.993 Å, c = 5.993 Å, α = 90.00°, β = 90.00° and γ = 90.00°. The asymmetric unit holds Rb at (0.000, 0.000, 0.000), Y at (0.500, 0.500, 0.500) and Pb at (0.000, 0.500, 0.500).

The crystal system is cubic.

Tell me which of them is the least stable. Sure, it is run i.

Run i
The following is a GGA-PBE calculation of an optimized crystal structure of Rb2YPb2, from the Alexandria database.

It has space group P4/mbm (No. 127), with a = 10.713 Å, b = 10.713 Å, c = 3.399 Å, α = 90.00°, β = 90.00° and γ = 90.00°. The asymmetric unit holds Rb at (0.116, 0.384, 0.000), Y at (0.000, 0.000, 0.000) and Pb at (0.182, 0.682, 0.500).

The crystal system is tetragonal.

Run ii
The following is a GGA-PBE calculation of an optimized crystal structure of Rb2YPb2, from the Alexandria database.

It has space group P4/mbm (No. 127), with a = 8.201 Å, b = 8.201 Å, c = 6.374 Å, α = 90.00°, β = 90.00° and γ = 90.00°. The asymmetric unit holds Rb at (0.165, 0.335, 0.000), Y at (0.000, 0.000, 0.500) and Pb at (0.142, 0.642, 0.500).

The crystal system is tetragonal.

Tell me which of them is the least stable. Sure, it is run i.

Run i
The following is a GGA-PBE calculation of an optimized crystal structure of Rb3ZnPb, from the Alexandria database.

It has space group C2/m (No. 12), with a = 13.465 Å, b = 11.161 Å, c = 8.792 Å, α = 90.00°, β = 129.72° and γ = 90.00°. The asymmetric unit holds Rb at (0.052, 0.000, 0.280), Rb at (0.212, 0.303, 0.191), Zn at (0.202, 0.500, 0.826) and Pb at (0.070, 0.500, 0.403).

The crystal system is monoclinic.

Run ii
The following is a GGA-PBE calculation of an optimized crystal structure of Rb3ZnPb, from the Alexandria database.

It has space group Pm-3m (No. 221), with a = 7.246 Å, b = 7.246 Å, c = 7.246 Å, α = 90.00°, β = 90.00° and γ = 90.00°. The asymmetric unit holds Rb at (0.000, 0.000, 0.500), Zn at (0.500, 0.500, 0.500) and Pb at (0.000, 0.000, 0.000).

The crystal system is cubic.

Tell me which of them is the least stable. Sure, it is run ii.

Run i
The following is a GGA-PBE calculation of an optimized crystal structure of RbZr3Pb, from the Alexandria database.

It has space group Pm-3m (No. 221), with a = 5.094 Å, b = 5.094 Å, c = 5.094 Å, α = 90.00°, β = 90.00° and γ = 90.00°. The asymmetric unit holds Rb at (0.000, 0.000, 0.000), Zr at (0.000, 0.000, 0.500) and Pb at (0.500, 0.500, 0.500).

The crystal system is cubic.

Run ii
The following is a GGA-PBE calculation of an optimized crystal structure of RbZr3Pb, from the Alexandria database.

It has space group Pm-3m (No. 221), with a = 5.626 Å, b = 5.626 Å, c = 5.626 Å, α = 90.00°, β = 90.00° and γ = 90.00°. The asymmetric unit holds Rb at (0.000, 0.000, 0.000), Zr at (0.000, 0.500, 0.500) and Pb at (0.500, 0.500, 0.500).

The crystal system is cubic.

Tell me which of them is the least stable. Sure, it is run i.